Compound: MnHgCl2
Source: Alexandria
Functional: PBE-GGA
Structure: relaxed

Structure (POSCAR):
```
MnHgCl2
1.0
2.268 0.000 10.733
-1.134 1.964 10.733
-1.134 -1.964 10.733
Hg Cl Mn
1 2 1
Direct
0.500 0.500 0.500
0.933 0.933 0.933
0.067 0.067 0.067
0.000 0.000 0.000
```

Properties
- Volume: 35.9 Å³/atom
- Electronic total energy: -3.66 eV per atom
- Excess energy over the best structure of this formula in the dataset: 428 meV/atom